{
  "formula": "PrY3Pd",
  "functional": "PBE-GGA",
  "state": "optimized geometry",
  "cell": [[6.071, -0.087, 1.205], [1.590, 9.729, 0.604], [-0.385, 0.251, 9.865]],
  "species": ["Pr", "Pr", "Pr", "Pr", "Y", "Y", "Y", "Y", "Y", "Y", "Y", "Y", "Y", "Y", "Y", "Y", "Pd", "Pd", "Pd", "Pd"],
  "fractional_positions": [[0.250, 0.930, 0.070], [0.750, 0.070, 0.930], [0.250, 0.202, 0.798], [0.750, 0.798, 0.202], [0.720, 0.738, 0.850], [0.780, 0.150, 0.262], [0.280, 0.262, 0.150], [0.220, 0.850, 0.738], [0.773, 0.413, 0.996], [0.727, 0.004, 0.587], [0.227, 0.587, 0.004], [0.273, 0.996, 0.413], [0.512, 0.497, 0.680], [0.988, 0.320, 0.503], [0.488, 0.503, 0.320], [0.012, 0.680, 0.497], [0.020, 0.501, 0.739], [0.480, 0.261, 0.499], [0.980, 0.499, 0.261], [0.520, 0.739, 0.501]],
  "volume_a3_per_atom": 29.4,
  "de_polymorph_ev_per_atom": 0.0000,
  "total_energy_ev_per_atom": -6.1845,
  "e_form_ev_per_atom": -0.31
}